1.
Y4Bi2P: optimized geometry, PBE-GGA.

```
14
Lattice="6.804 0.000 -0.271 0.000 6.711 0.000 -2.818 0.000 9.010" Properties=species:S:1:pos:R:3 pbc="T T T"
Y 2.691 3.339 2.059
Y -1.934 5.033 7.780
Y 5.919 1.678 0.959
Y 2.691 0.017 2.059
Y 4.555 1.678 4.888
Y 1.294 6.694 6.680
Y 1.294 3.372 6.680
Y -0.570 5.033 3.851
Bi 4.639 5.033 0.288
Bi -0.654 1.678 8.451
Bi 0.747 1.678 4.013
Bi 3.238 5.033 4.726
P 0.667 5.033 1.458
P 3.319 1.678 7.281
```

Results
**Size of the total moment**: 0.00 μB/cell
**Theoretical density**: 6.58 g/cm³
**Energy of formation from the pure elements**: -0.758 eV/atom
**Volume**: 29.0 A^3/atom



2.
InAgSn2Br6: optimized geometry, PBE-GGA.

```
10
Lattice="7.594 0.002 0.000 3.798 6.580 -0.001 3.797 2.193 7.022" Properties=species:S:1:pos:R:3 pbc="T T T"
In 11.393 6.582 3.966
Ag 3.797 2.194 0.275
Sn 7.594 4.388 3.163
Sn 3.797 2.192 6.856
Br 6.340 2.225 1.658
Br 6.351 6.554 1.659
Br 10.093 4.382 1.661
Br 8.444 6.480 5.321
Br 8.983 2.602 5.326
Br 5.354 4.076 5.327
```

Results
**Size of the total moment**: 0.00 μB/cell
**Theoretical density**: 4.45 g/cm³
**Formation energy (no corrections)**: -0.64 eV per atom
**Volume**: 35.1 A^3/atom



3.
SmEr12Al3: optimized geometry, PBE-GGA.

```
16
Lattice="4.758 0.000 0.000 0.000 4.758 0.000 0.000 0.000 19.400" Properties=species:S:1:pos:R:3 pbc="T T T"
Sm 0.000 0.000 0.000
Er 2.379 2.379 0.000
Er 2.379 2.379 5.011
Er 2.379 2.379 9.700
Er 2.379 2.379 14.388
Er 2.379 0.000 2.631
Er 2.379 0.000 7.348
Er 2.379 0.000 12.052
Er 2.379 0.000 16.769
Er 0.000 2.379 2.631
Er 0.000 2.379 7.348
Er 0.000 2.379 12.052
Er 0.000 2.379 16.768
Al 0.000 0.000 5.014
Al 0.000 0.000 9.700
Al 0.000 0.000 14.386
```

Results
**Size of the total moment**: 0.00 μB/cell
**Theoretical density**: 8.46 g/cm³
**Energy of formation from the pure elements**: -0.127 eV/atom
**Volume**: 27.4 A^3/atom